4
Lattice="1.972 1.138 7.323 -1.972 1.138 7.323 0.000 -2.277 7.323" Properties=species:S:1:pos:R:3 comment="PuThIrS, optimized geometry, DFT PBE" formation_energy_uncorrected_ev_per_fu=-4.22 total_energy_ha_per_atom=-0.358 n_ef_per_ev_atom=2.872 pbc="T T T"
Pu 0.000 0.000 0.000
Th 0.000 0.000 18.035
Ir 0.000 0.000 9.008
S 0.000 0.000 12.761